The following is a PBE calculation of an optimized crystal structure of CaCrMo, from Alexandria.

abc: 7.390 7.139 2.991
angles: 82.87 73.45 23.68
Atoms (fractional coordinates):
Cr  0.312  0.312  0.688
Mo  0.692  0.692  0.308
Ca  0.996  0.996  0.004

Properties
The calculation puts the density of states at the Fermi level at 4.32 states/eV/f.u. The value obtained for the relative energy among the computed polymorphs is 0.198 eV/atom. For the calculated formation energy, the calculation gives 2.22 eV/f.u.